Ho2ErTa | PBE-GGA | optimized geometry

symmetry = R-3m (166)
crystal system = trigonal
formation energy from the elements = 0.58 eV per atom

Cell lengths 3.2542, 3.2542, 11.7361 Å; angles 82.03, 82.03, 60.00 degrees
Fractional coordinates of all 4 atoms:
Er: 0.5000 0.5000 0.5000
Ho: 0.0843 0.0843 0.7471
Ho: 0.9157 0.9157 0.2529
Ta: 0.0000 0.0000 0.0000

=====

ScFe2Os | PBE-GGA | optimized geometry

symmetry = P4/mmm (123)
energy above the most stable polymorph in this dataset = 0.00 kJ/mol of atoms
crystal system = tetragonal
formation energy from the elements = -0.01 eV per atom

Cell lengths 4.2959, 4.2959, 3.0351 Å; angles 90.00, 90.00, 90.00 degrees
Site moments in Bohr magnetons follow the coordinates.
Fractional coordinates of all 4 atoms:
Fe: 0.0000 0.0000 0.0000  2.16
Fe: 0.5000 0.5000 0.0000  2.16
Os: 0.5000 0.0000 0.5000  0.45
Sc: 0.0000 0.5000 0.5000  -0.41

=====

Ac3SnPt8 | PBE-GGA | optimized geometry

symmetry = R3m (160)
crystal system = trigonal
formation energy from the elements = -0.90 eV per atom

Cell lengths 5.6578, 5.6578, 9.6730 Å; angles 73.00, 73.00, 60.00 degrees
Fractional coordinates of all 12 atoms:
Ac: 0.3782 0.3782 0.8654
Ac: 0.9891 0.9891 0.0326
Ac: 0.5087 0.5087 0.4740
Sn: 0.8569 0.8569 0.4293
Pt: 0.9441 0.4386 0.1787
Pt: 0.4331 0.9412 0.6846
Pt: 0.4386 0.4386 0.1787
Pt: 0.9412 0.9412 0.6846
Pt: 0.1908 0.1908 0.4277
Pt: 0.6896 0.6896 0.9311
Pt: 0.4386 0.9441 0.1787
Pt: 0.9412 0.4331 0.6846

=====

TlIn2SnPt | PBE-GGA | optimized geometry

symmetry = P4/mmm (123)
crystal system = tetragonal
formation energy from the elements = -0.08 eV per atom

Cell lengths 5.2158, 5.2158, 5.3509 Å; angles 90.00, 90.00, 90.00 degrees
Fractional coordinates of all 5 atoms:
Tl: 0.5000 0.5000 0.5000
Sn: 0.0000 0.0000 0.5000
Pt: 0.0000 0.0000 0.0000
In: 0.0000 0.5000 0.0000
In: 0.5000 0.0000 0.0000

=====

Y2NbInSe | PBE-GGA | optimized geometry

symmetry = P4/mmm (123)
crystal system = tetragonal
formation energy without anion corrections = 0.639 eV per atom

Cell lengths 5.6387, 5.1920, 5.6387 Å; angles 90.00, 90.00, 90.00 degrees
Site moments in Bohr magnetons follow the coordinates.
Fractional coordinates of all 5 atoms:
Y: 0.0000 0.0000 0.5000  0.07
Y: 0.5000 0.0000 0.0000  0.04
Nb: 0.0000 0.5000 0.0000  1.96
Se: 0.5000 0.5000 0.5000  -0.03
In: 0.0000 0.0000 0.0000  0.00

=====

Ac2Ce4Pb3O2 | PBE-GGA | optimized geometry

symmetry = I4/mmm (139)
crystal system = tetragonal
formation energy without anion corrections = -1.300 eV per atom

Cell lengths 4.8574, 4.8574, 13.9968 Å; angles 99.99, 99.99, 90.00 degrees
Site moments in Bohr magnetons follow the coordinates.
Fractional coordinates of all 11 atoms:
Ac: 0.3034 0.3034 0.6069  0.08
Ac: 0.6966 0.6966 0.3931  0.08
Ce: 0.4182 0.9182 0.8364  0.86
Ce: 0.9182 0.4182 0.8364  0.86
Ce: 0.0818 0.5818 0.1636  0.86
Ce: 0.5818 0.0818 0.1636  0.86
Pb: 0.0000 0.0000 0.0000  -0.04
Pb: 0.1715 0.1715 0.3430  -0.03
Pb: 0.8285 0.8285 0.6570  -0.03
O: 0.4042 0.4042 0.8085  -0.03
O: 0.5958 0.5958 0.1915  -0.03

=====

Li2Pd2Au | PBE-GGA | optimized geometry

symmetry = P4/mbm (127)
energy above the most stable polymorph in this dataset = 6.06 kJ/mol of atoms
crystal system = tetragonal
formation energy from the elements = -0.34 eV per atom

Cell lengths 6.9700, 6.9700, 2.9086 Å; angles 90.00, 90.00, 90.00 degrees
Fractional coordinates of all 10 atoms:
Au: 0.0000 0.0000 0.0000
Au: 0.5000 0.5000 0.0000
Pd: 0.1675 0.6675 0.5000
Pd: 0.6675 0.8325 0.5000
Pd: 0.8325 0.3325 0.5000
Pd: 0.3325 0.1675 0.5000
Li: 0.3686 0.8686 0.0000
Li: 0.8686 0.6314 0.0000
Li: 0.6314 0.1314 0.0000
Li: 0.1314 0.3686 0.0000

=====

Rb3SiGe4 | PBE-GGA | optimized geometry

symmetry = Pnma (62)
crystal system = orthorhombic
formation energy without anion corrections = 0.040 eV per atom

Cell lengths 9.7064, 8.3627, 13.8769 Å; angles 90.00, 90.00, 90.00 degrees
Fractional coordinates of all 32 atoms:
Si: 0.7295 0.2500 0.0938
Si: 0.2295 0.7500 0.4062
Si: 0.7705 0.2500 0.5938
Si: 0.2705 0.7500 0.9062
Ge: 0.9621 0.2500 0.0312
Ge: 0.5161 0.4076 0.0747
Ge: 0.5161 0.0924 0.0747
Ge: 0.9222 0.2500 0.2072
Ge: 0.4222 0.7500 0.2928
Ge: 0.0161 0.9076 0.4253
Ge: 0.0161 0.5924 0.4253
Ge: 0.4621 0.7500 0.4688
Ge: 0.5379 0.2500 0.5312
Ge: 0.9839 0.4076 0.5747
Ge: 0.9839 0.0924 0.5747
Ge: 0.5778 0.2500 0.7072
Ge: 0.0778 0.7500 0.7928
Ge: 0.4839 0.9076 0.9253
Ge: 0.4839 0.5924 0.9253
Ge: 0.0379 0.7500 0.9688
Rb: 0.7281 0.7500 0.1069
Rb: 0.1914 0.9726 0.1548
Rb: 0.1914 0.5274 0.1548
Rb: 0.6914 0.4726 0.3452
Rb: 0.6914 0.0274 0.3452
Rb: 0.2281 0.2500 0.3931
Rb: 0.7719 0.7500 0.6069
Rb: 0.3086 0.9726 0.6548
Rb: 0.3086 0.5274 0.6548
Rb: 0.8086 0.4726 0.8452
Rb: 0.8086 0.0274 0.8452
Rb: 0.2719 0.2500 0.8931

=====

| no. | E (eV per formula unit) |
| --- | --- |
| 1 | -23.2 |
| 2 | -34.5 |
| 3 | -75.5 |
| 4 | -18.3 |
| 5 | -26.0 |
| 6 | -67.3 |
| 7 | -19.2 |
| 8 | -26.5 |